# CdSnHg2 | Alexandria via LeMat-Bulk | PBEsol | optimized geometry
# **Total magnetic moment**: 0.00 μB per cell
# **ΔE_f**: 0.059 eV per atom
# **Fermi-level density of states**: 0.5317 states/eV per atom
# **Total DFT energy (no corrections)**: -25.41 eV/cell
data_CdSnHg2
_chemical_formula_sum 'Cd4 Sn4 Hg8'
_space_group_name_H-M_alt 'F m -3 m'
_space_group_IT_number 225
_space_group_name_Hall '-F 4 2 3'
_cell_length_a 7.1952
_cell_length_b 7.1952
_cell_length_c 7.1952
_cell_angle_alpha 90.00
_cell_angle_beta 90.00
_cell_angle_gamma 90.00
loop_
_atom_site_label
_atom_site_fract_x
_atom_site_fract_y
_atom_site_fract_z
_atom_site_occupancy
Cd1 0.0000 0.0000 0.0000 1
Sn1 0.0000 0.0000 0.5000 1
Hg1 0.2500 0.2500 0.2500 1

=====

# CdSnHg2 | Alexandria via LeMat-Bulk | PBEsol | optimized geometry
# **Total magnetic moment**: 0.00 μB per cell
# **ΔE_f**: 0.036 eV per atom
# **Fermi-level density of states**: 0.3858 states/eV per atom
# **Total DFT energy (no corrections)**: -25.79 eV/cell
data_CdSnHg2
_chemical_formula_sum 'Cd4 Sn4 Hg8'
_space_group_name_H-M_alt 'I -4 2 d'
_space_group_IT_number 122
_space_group_name_Hall 'I -4 2bw'
_cell_length_a 4.2859
_cell_length_b 4.2859
_cell_length_c 21.1205
_cell_angle_alpha 90.00
_cell_angle_beta 90.00
_cell_angle_gamma 90.00
loop_
_atom_site_label
_atom_site_fract_x
_atom_site_fract_y
_atom_site_fract_z
_atom_site_occupancy
Cd1 0.0000 0.0000 0.0000 1
Sn1 0.0000 0.0000 0.5000 1
Hg1 0.2442 0.2500 0.1250 1

=====

# SrCd2Hg | Alexandria via LeMat-Bulk | PBEsol | optimized geometry
# **Total magnetic moment**: 0.00 μB per cell
# **ΔE_f**: -0.326 eV per atom
# **Fermi-level density of states**: 0.5074 states/eV per atom
# **Total DFT energy (no corrections)**: -12.21 eV/cell
data_SrCd2Hg
_chemical_formula_sum 'Sr2 Cd4 Hg2'
_space_group_name_H-M_alt 'I -4 m 2'
_space_group_IT_number 119
_space_group_name_Hall 'I -4 -2'
_cell_length_a 5.1752
_cell_length_b 5.1752
_cell_length_c 7.3494
_cell_angle_alpha 90.00
_cell_angle_beta 90.00
_cell_angle_gamma 90.00
loop_
_atom_site_label
_atom_site_fract_x
_atom_site_fract_y
_atom_site_fract_z
_atom_site_occupancy
Sr1 0.0000 0.0000 0.0000 1
Cd1 0.0000 0.0000 0.5000 1
Cd2 0.0000 0.5000 0.7500 1
Hg1 0.0000 0.5000 0.2500 1

=====

# SrCd2Hg | Alexandria via LeMat-Bulk | PBEsol | optimized geometry
# **Total magnetic moment**: 0.00 μB per cell
# **ΔE_f**: -0.260 eV per atom
# **Fermi-level density of states**: 0.6347 states/eV per atom
# **Total DFT energy (no corrections)**: -5.84 eV/cell
data_SrCd2Hg
_chemical_formula_sum 'Sr1 Cd2 Hg1'
_space_group_name_H-M_alt 'P 4/m m m'
_space_group_IT_number 123
_space_group_name_Hall '-P 4 2'
_cell_length_a 4.6125
_cell_length_b 4.6125
_cell_length_c 4.9098
_cell_angle_alpha 90.00
_cell_angle_beta 90.00
_cell_angle_gamma 90.00
loop_
_atom_site_label
_atom_site_fract_x
_atom_site_fract_y
_atom_site_fract_z
_atom_site_occupancy
Sr1 0.0000 0.0000 0.0000 1
Cd1 0.0000 0.5000 0.5000 1
Hg1 0.5000 0.5000 0.0000 1

=====

# SrCd2Hg | Alexandria via LeMat-Bulk | PBEsol | optimized geometry
# **Total magnetic moment**: 0.00 μB per cell
# **ΔE_f**: -0.221 eV per atom
# **Fermi-level density of states**: 0.4915 states/eV per atom
# **Total DFT energy (no corrections)**: -5.68 eV/cell
data_SrCd2Hg
_chemical_formula_sum 'Sr1 Cd2 Hg1'
_space_group_name_H-M_alt 'P 4/m m m'
_space_group_IT_number 123
_space_group_name_Hall '-P 4 2'
_cell_length_a 3.8514
_cell_length_b 3.8514
_cell_length_c 7.0658
_cell_angle_alpha 90.00
_cell_angle_beta 90.00
_cell_angle_gamma 90.00
loop_
_atom_site_label
_atom_site_fract_x
_atom_site_fract_y
_atom_site_fract_z
_atom_site_occupancy
Sr1 0.0000 0.0000 0.0000 1
Cd1 0.5000 0.5000 0.2900 1
Hg1 0.0000 0.0000 0.5000 1

=====

# SrCdHg | Alexandria via LeMat-Bulk | PBEsol | optimized geometry
# **Total magnetic moment**: 0.00 μB per cell
# **ΔE_f**: -0.456 eV per atom
# **Fermi-level density of states**: 0.7226 states/eV per atom
# **Total DFT energy (no corrections)**: -4.97 eV/cell
data_SrCdHg
_chemical_formula_sum 'Sr1 Cd1 Hg1'
_space_group_name_H-M_alt 'P -6 m 2'
_space_group_IT_number 187
_space_group_name_Hall 'P -6 2'
_cell_length_a 4.9748
_cell_length_b 4.9748
_cell_length_c 3.8496
_cell_angle_alpha 90.00
_cell_angle_beta 90.00
_cell_angle_gamma 120.00
loop_
_atom_site_label
_atom_site_fract_x
_atom_site_fract_y
_atom_site_fract_z
_atom_site_occupancy
Sr1 0.0000 0.0000 0.0000 1
Cd1 0.3333 0.6667 0.5000 1
Hg1 0.6667 0.3333 0.5000 1

=====

# SrCd2Hg | Alexandria via LeMat-Bulk | PBEsol | optimized geometry
# **Total magnetic moment**: 0.00 μB per cell
# **ΔE_f**: -0.262 eV per atom
# **Fermi-level density of states**: 0.4479 states/eV per atom
# **Total DFT energy (no corrections)**: -11.70 eV/cell
data_SrCd2Hg
_chemical_formula_sum 'Sr2 Cd4 Hg2'
_space_group_name_H-M_alt 'I m m m'
_space_group_IT_number 71
_space_group_name_Hall '-I 2 2'
_cell_length_a 4.2285
_cell_length_b 5.1836
_cell_length_c 9.4746
_cell_angle_alpha 90.00
_cell_angle_beta 90.00
_cell_angle_gamma 90.00
loop_
_atom_site_label
_atom_site_fract_x
_atom_site_fract_y
_atom_site_fract_z
_atom_site_occupancy
Sr1 0.0000 0.0000 0.0000 1
Cd1 0.0000 0.5000 0.2288 1
Hg1 0.0000 0.0000 0.5000 1

=====

# SrCd2Hg2 | Alexandria via LeMat-Bulk | PBEsol | optimized geometry
# **Total magnetic moment**: 0.00 μB per cell
# **ΔE_f**: -0.296 eV per atom
# **Fermi-level density of states**: 0.5184 states/eV per atom
# **Total DFT energy (no corrections)**: -13.70 eV/cell
data_SrCd2Hg2
_chemical_formula_sum 'Sr2 Cd4 Hg4'
_space_group_name_H-M_alt 'I 4/m m m'
_space_group_IT_number 139
_space_group_name_Hall '-I 4 2'
_cell_length_a 4.6635
_cell_length_b 4.6635
_cell_length_c 11.9906
_cell_angle_alpha 90.00
_cell_angle_beta 90.00
_cell_angle_gamma 90.00
loop_
_atom_site_label
_atom_site_fract_x
_atom_site_fract_y
_atom_site_fract_z
_atom_site_occupancy
Sr1 0.0000 0.0000 0.0000 1
Cd1 0.0000 0.0000 0.3870 1
Hg1 0.0000 0.5000 0.2500 1